1.
Na3Y3RhO8 | PBE | optimized geometry

Properties
Theoretical density = 4.358 Mg/m³
E_tot = -7.04 eV per atom
Symmetry = R-3m, No. 166
Formation energy (no corrections) = -2344 meV/atom
Magnetization = 1.05 μB/f.u.

Structure (POSCAR):
```
Na3Y3RhO8
1.0
3.3498 1.9340 5.5546
-3.3498 1.9340 5.5546
0.0000 -3.8680 5.5546
Na Y Rh O
3 3 1 8
Cartesian
-1.6749 -0.9670 5.5546 Na
-1.6749 0.9670 11.1092 Na
0.0000 1.9340 5.5546 Na
-3.3498 0.0000 8.3319 Y
-1.6749 0.9670 2.7773 Y
1.6749 0.9670 2.7773 Y
0.0000 0.0000 8.3319 Rh
0.0000 0.0000 3.9466 O
-1.5325 -0.8848 9.4483 O
0.0000 -1.7695 7.2155 O
-1.5324 0.8848 7.2155 O
1.5325 -0.8848 9.4483 O
0.0000 1.7695 9.4483 O
1.5325 0.8848 7.2155 O
0.0000 0.0000 12.7173 O
```

2.
Na2YRhO4 | PBE | optimized geometry

Properties
Theoretical density = 5.000 Mg/m³
E_tot = -6.44 eV per atom
Symmetry = P2/m, No. 10
Formation energy (no corrections) = -1905 meV/atom
Magnetization = 0.00 μB/f.u.

Structure (POSCAR):
```
Na2YRhO4
1.0
5.4189 0.0000 0.0000
0.0000 3.3137 0.0000
-1.9324 0.0000 5.5816
Na Y Rh O
2 1 1 4
Cartesian
0.0000 0.0000 0.0000 Na
2.7095 1.6568 0.0000 Na
-0.9662 1.6568 2.7908 Y
1.7433 0.0000 2.7908 Rh
-0.0393 0.0000 4.0278 O
1.0039 1.6568 1.6359 O
2.4827 1.6568 3.9457 O
3.5259 0.0000 1.5538 O
```

3.
Na3Y2RhO6 | PBE | optimized geometry

Properties
Theoretical density = 4.696 Mg/m³
E_tot = -6.68 eV per atom
Symmetry = C2/m, No. 12
Formation energy (no corrections) = -2185 meV/atom
Magnetization = 0.00 μB/f.u.

Structure (POSCAR):
```
Na3Y2RhO6
1.0
2.8523 -4.9377 0.0000
2.8523 4.9377 0.0000
-1.8554 0.0000 5.5953
Na Y Rh O
3 2 1 6
Cartesian
0.0000 0.0000 0.0000 Na
2.8523 1.5313 0.0000 Na
2.8523 -1.5313 0.0000 Na
1.9246 3.2848 2.7977 Y
1.9246 -3.2848 2.7977 Y
1.9246 0.0000 2.7977 Rh
1.0170 1.5629 1.5907 O
0.1132 0.0000 3.9838 O
1.0170 -1.5629 1.5907 O
2.8322 1.5629 4.0046 O
3.7360 0.0000 1.6116 O
2.8322 -1.5629 4.0046 O
```

4.
Na3Zn2RhO6 | PBE | optimized geometry

Properties
Theoretical density = 4.896 Mg/m³
E_tot = -4.90 eV per atom
Symmetry = C2/m, No. 12
Formation energy (no corrections) = -1264 meV/atom
Magnetization = 2.07 μB/f.u.

Structure (POSCAR):
```
Na3Zn2RhO6
1.0
2.7077 -4.6853 0.0000
2.7077 4.6853 0.0000
-1.8214 0.0000 5.3298
Na Zn Rh O
3 2 1 6
Cartesian
0.0000 0.0000 0.0000 Na
2.7077 1.5924 0.0000 Na
2.7077 -1.5924 0.0000 Na
1.7970 3.1224 2.6649 Zn
1.7970 -3.1224 2.6649 Zn
1.7970 0.0000 2.6649 Rh
0.9502 1.4755 1.5716 O
0.0954 0.0000 3.7448 O
0.9502 -1.4755 1.5716 O
2.6438 1.4755 3.7582 O
3.4986 0.0000 1.5850 O
2.6438 -1.4755 3.7582 O
```

5.
NaZnRhO3 | PBE | optimized geometry

Properties
Theoretical density = 4.606 Mg/m³
E_tot = -5.18 eV per atom
Symmetry = P2_1/m, No. 11
Formation energy (no corrections) = -1041 meV/atom
Magnetization = 0.00 μB/f.u.

Structure (POSCAR):
```
NaZnRhO3
1.0
6.0772 0.0000 0.0000
0.0000 3.2579 0.0000
-2.2367 0.0000 8.7146
Na Zn Rh O
2 2 2 6
Cartesian
-0.3910 0.8145 3.1831 Na
4.2315 2.4434 5.5315 Na
0.2734 0.8145 7.7280 Zn
3.5670 2.4434 0.9866 Zn
1.2798 2.4434 5.5318 Rh
2.5607 0.8145 3.1827 Rh
-0.0996 0.8145 5.7583 O
1.2720 2.4434 3.4721 O
2.4399 0.8145 1.0558 O
1.4005 2.4434 7.6588 O
2.5684 0.8145 5.2425 O
3.9400 2.4434 2.9563 O
```

6.
Na3ZnRh3O8 | PBE | optimized geometry

Properties
Theoretical density = 5.311 Mg/m³
E_tot = -5.56 eV per atom
Symmetry = R-3m, No. 166
Formation energy (no corrections) = -1096 meV/atom
Magnetization = 2.09 μB/f.u.

Structure (POSCAR):
```
Na3ZnRh3O8
1.0
3.1104 1.7958 5.3282
-3.1104 1.7958 5.3282
0.0000 -3.5916 5.3282
Na Zn Rh O
3 1 3 8
Cartesian
-1.5552 -0.8979 5.3282 Na
-1.5552 0.8979 10.6563 Na
0.0000 1.7958 5.3282 Na
0.0000 0.0000 7.9922 Zn
-3.1104 0.0000 7.9922 Rh
-1.5552 0.8979 2.6641 Rh
1.5552 0.8979 2.6641 Rh
-1.6046 -0.9264 9.0193 O
0.0000 0.0000 3.7331 O
0.0000 -1.8528 6.9652 O
-1.6046 0.9264 6.9652 O
1.6046 -0.9264 9.0193 O
0.0000 1.8528 9.0193 O
0.0000 0.0000 12.2514 O
1.6046 0.9264 6.9652 O
```

Please write out number 4 again, unchanged.
Na3Zn2RhO6 | PBE | optimized geometry

Properties
Theoretical density = 4.896 Mg/m³
E_tot = -4.90 eV per atom
Symmetry = C2/m, No. 12
Formation energy (no corrections) = -1264 meV/atom
Magnetization = 2.07 μB/f.u.

Structure (POSCAR):
```
Na3Zn2RhO6
1.0
2.7077 -4.6853 0.0000
2.7077 4.6853 0.0000
-1.8214 0.0000 5.3298
Na Zn Rh O
3 2 1 6
Cartesian
0.0000 0.0000 0.0000 Na
2.7077 1.5924 0.0000 Na
2.7077 -1.5924 0.0000 Na
1.7970 3.1224 2.6649 Zn
1.7970 -3.1224 2.6649 Zn
1.7970 0.0000 2.6649 Rh
0.9502 1.4755 1.5716 O
0.0954 0.0000 3.7448 O
0.9502 -1.4755 1.5716 O
2.6438 1.4755 3.7582 O
3.4986 0.0000 1.5850 O
2.6438 -1.4755 3.7582 O
```